Crystalline CrCd2Ru at its relaxed geometry, computed with GGA-PBE.

Cell lengths 5.9813, 5.9813, 5.9813 Å; angles 101.77, 101.77, 126.31 degrees
Closest atoms and distances in Å follow each position.
Atoms (fractional coordinates):
Cr: 0.0000 0.0000 0.0000  2 Ru 2.70, 4 Cd 2.79
Cr: 0.7500 0.2500 0.5000  2 Ru 2.70, 4 Cd 2.79
Cd: 0.1331 0.6250 0.0081  2 Cd 2.70, 2 Ru 2.71, 2 Cr 2.79
Cd: 0.3750 0.3831 0.5081  2 Cd 2.70, 2 Ru 2.71, 2 Cr 2.79
Cd: 0.6169 0.1250 0.9919  2 Cd 2.70, 2 Ru 2.71, 2 Cr 2.79
Cd: 0.8750 0.8669 0.4919  2 Cd 2.70, 2 Ru 2.71, 2 Cr 2.79
Ru: 0.2500 0.7500 0.5000  2 Cr 2.70, 4 Cd 2.71
Ru: 0.5000 0.5000 0.0000  2 Cr 2.70, 4 Cd 2.71

Values from the calculation:
Excess energy over the best structure of this formula in the dataset: 637 meV/atom
Magnetic moment: 8.24 μB per cell
E_form: 0.798 eV/atom
Calculated total energy: -4.384 eV per atom

---

Crystalline CsSb at its relaxed geometry, computed with GGA-PBE.

Cell lengths 10.9064, 10.9064, 10.9064 Å; angles 90.00, 90.00, 90.00 degrees
Closest atoms and distances in Å follow each position.
Atoms (fractional coordinates):
Cs: 0.0000 0.2500 0.5000  4 Sb 3.86
Cs: 0.0000 0.7500 0.5000  4 Sb 3.86
Cs: 0.2500 0.5000 0.0000  4 Sb 3.86
Cs: 0.5000 0.0000 0.2500  4 Sb 3.86
Cs: 0.5000 0.0000 0.7500  4 Sb 3.86
Cs: 0.7500 0.5000 0.0000  4 Sb 3.86
Sb: 0.0000 0.5000 0.2500  4 Cs 3.86
Sb: 0.0000 0.5000 0.7500  4 Cs 3.86
Sb: 0.2500 0.0000 0.5000  4 Cs 3.86
Sb: 0.5000 0.2500 0.0000  4 Cs 3.86
Sb: 0.5000 0.7500 0.0000  4 Cs 3.86
Sb: 0.7500 0.0000 0.5000  4 Cs 3.86

Values from the calculation:
Formation energy from raw total energies: 0.4454 eV per atom
Excess energy over the best structure of this formula in the dataset: 909 meV/atom
Magnetic moment: 12.00 μB per cell
Calculated total energy: -2.043 eV per atom

---

Crystalline Ba8LiRhAu2 at its relaxed geometry, computed with GGA-PBE.

Cell lengths 7.6786, 9.7557, 7.9125 Å; angles 90.00, 90.68, 90.00 degrees
Closest atoms and distances in Å follow each position.
Atoms (fractional coordinates):
Ba: 0.2256 0.0000 0.3501  2 Au 3.29, 1 Li 3.50
Ba: 0.2495 0.5000 0.3148  1 Rh 3.17, 2 Au 3.38
Ba: 0.2677 0.2773 0.8313  1 Rh 3.10, 1 Au 3.32
Ba: 0.2677 0.7227 0.8313  1 Rh 3.10, 1 Au 3.32
Ba: 0.7323 0.2773 0.1687  1 Rh 3.10, 1 Au 3.32
Ba: 0.7323 0.7227 0.1687  1 Rh 3.10, 1 Au 3.32
Ba: 0.7505 0.5000 0.6852  1 Rh 3.17, 2 Au 3.38
Ba: 0.7744 0.0000 0.6499  2 Au 3.29, 1 Li 3.50
Li: 0.5000 0.0000 0.0000  6 Ba 3.50
Rh: 0.5000 0.5000 0.0000  6 Ba 3.10-3.17
Au: 0.0000 0.2581 0.5000  6 Ba 3.29-3.38
Au: 0.0000 0.7419 0.5000  6 Ba 3.29-3.38

Values from the calculation:
Magnetic moment: 0.00 μB per cell
E_form: -0.282 eV/atom
Calculated total energy: -2.882 eV per atom

---

Crystalline LaOs3Cl at its relaxed geometry, computed with GGA-PBE.

Cell lengths 4.5254, 4.5254, 4.5254 Å; angles 90.00, 90.00, 90.00 degrees
Closest atoms and distances in Å follow each position.
Atoms (fractional coordinates):
La: 0.0000 0.0000 0.0000  12 Os 3.20
Os: 0.0000 0.5000 0.5000  2 Cl 2.26
Os: 0.5000 0.0000 0.5000  2 Cl 2.26
Os: 0.5000 0.5000 0.0000  2 Cl 2.26
Cl: 0.5000 0.5000 0.5000  6 Os 2.26

Values from the calculation:
Formation energy from raw total energies: 1.2440 eV per atom
Excess energy over the best structure of this formula in the dataset: 0 meV/atom
Magnetic moment: 0.00 μB per cell
Calculated total energy: -6.849 eV per atom

---

Crystalline HfGe2ClF at its relaxed geometry, computed with GGA-PBE.

Cell lengths 4.2345, 4.2345, 5.0940 Å; angles 90.00, 90.00, 90.00 degrees
Closest atoms and distances in Å follow each position.
Atoms (fractional coordinates):
Hf: 0.0000 0.0000 0.0000  4 Cl 2.99, 8 Ge 3.31
Ge: 0.0000 0.5000 0.5000  2 F 2.12
Ge: 0.5000 0.0000 0.5000  2 F 2.12
Cl: 0.5000 0.5000 0.0000  2 F 2.55
F: 0.5000 0.5000 0.5000  4 Ge 2.12

Values from the calculation:
Formation energy from raw total energies: -0.2576 eV per atom
Magnetic moment: 0.00 μB per cell
Calculated total energy: -4.839 eV per atom

---

Crystalline TlSb2H at its relaxed geometry, computed with GGA-PBE.

Cell lengths 5.0850, 5.0850, 5.0850 Å; angles 60.00, 60.00, 60.00 degrees
Closest atoms and distances in Å follow each position.
Atoms (fractional coordinates):
Tl: 0.0000 0.0000 0.0000  8 Sb 3.11
Sb: 0.2500 0.2500 0.2500  4 H 3.11, 4 Tl 3.11
Sb: 0.7500 0.7500 0.7500  4 H 3.11, 4 Tl 3.11
H: 0.5000 0.5000 0.5000  8 Sb 3.11

Values from the calculation:
Excess energy over the best structure of this formula in the dataset: 398 meV/atom
Magnetic moment: 0.00 μB per cell
Calculated total energy: -2.838 eV per atom

---

- calculated total energy of number 4 (LaOs3Cl)?
  -6.849 eV per atom

---

- Which of these has the highest calculated total energy?
  CsSb

---

Please write out number 3 again, unchanged.
Crystalline Ba8LiRhAu2 at its relaxed geometry, computed with GGA-PBE.

Cell lengths 7.6786, 9.7557, 7.9125 Å; angles 90.00, 90.68, 90.00 degrees
Closest atoms and distances in Å follow each position.
Atoms (fractional coordinates):
Ba: 0.2256 0.0000 0.3501  2 Au 3.29, 1 Li 3.50
Ba: 0.2495 0.5000 0.3148  1 Rh 3.17, 2 Au 3.38
Ba: 0.2677 0.2773 0.8313  1 Rh 3.10, 1 Au 3.32
Ba: 0.2677 0.7227 0.8313  1 Rh 3.10, 1 Au 3.32
Ba: 0.7323 0.2773 0.1687  1 Rh 3.10, 1 Au 3.32
Ba: 0.7323 0.7227 0.1687  1 Rh 3.10, 1 Au 3.32
Ba: 0.7505 0.5000 0.6852  1 Rh 3.17, 2 Au 3.38
Ba: 0.7744 0.0000 0.6499  2 Au 3.29, 1 Li 3.50
Li: 0.5000 0.0000 0.0000  6 Ba 3.50
Rh: 0.5000 0.5000 0.0000  6 Ba 3.10-3.17
Au: 0.0000 0.2581 0.5000  6 Ba 3.29-3.38
Au: 0.0000 0.7419 0.5000  6 Ba 3.29-3.38

Values from the calculation:
Magnetic moment: 0.00 μB per cell
E_form: -0.282 eV/atom
Calculated total energy: -2.882 eV per atom

---

- What is the magnetic moment in the sixth record?
  0.00 μB per cell